! PBE+U V4Pb3O3F19, relaxed; values from VASP
! VASP energy, eV/atom: -5.582
! Space group: P31c
! Total magnetic moment, μB per cell: 2.00
&SYSTEM
  ibrav = 0, nat = 58, ntyp = 4
/
ATOMIC_SPECIES
F 19.00 F.upf
Pb 207.20 Pb.upf
V 50.94 V.upf
O 16.00 O.upf
CELL_PARAMETERS angstrom
9.189 0.000 0.000
0.000 10.433 0.000
0.000 -5.217 9.035
ATOMIC_POSITIONS angstrom
F 6.382 -1.873 4.000
F 1.823 7.005 1.249
F 1.823 2.795 2.344
F 1.787 3.343 5.036
F 1.787 4.401 0.377
F 1.812 0.941 7.247
F 3.821 2.910 6.516
F 4.460 0.000 6.024
F 3.821 -1.882 8.298
F 6.406 6.157 1.788
F 8.598 2.969 8.169
F 8.416 4.188 5.778
F 8.800 -0.512 7.455
F 9.055 5.217 3.012
F 8.416 3.335 0.737
F 6.406 5.806 4.438
F 8.800 1.496 5.751
F 8.598 0.374 2.379
F 4.205 4.233 4.171
F 1.787 7.906 3.622
F 4.003 5.590 6.656
F 4.003 1.874 1.513
F 1.812 -1.530 6.227
F 1.812 0.589 4.597
F 6.418 1.789 7.787
F 1.823 5.849 5.442
F 4.205 4.705 1.580
F 6.382 -0.816 8.658
F 4.205 6.712 3.284
F 8.800 -0.984 4.864
F 8.598 -3.343 7.522
F 6.418 0.633 3.593
F 6.382 2.689 5.413
F 6.406 3.686 2.809
F 8.416 8.127 2.519
F 4.003 8.186 0.866
F 3.821 -1.029 3.257
F 6.418 -2.421 6.691
Pb 8.805 5.982 0.713
Pb 4.210 0.766 8.322
Pb 8.805 6.824 4.824
Pb 8.805 2.843 3.498
Pb 4.210 -2.374 5.538
Pb 4.210 1.608 4.211
V 5.343 5.217 3.012
V 7.270 -0.825 2.761
V 2.675 4.392 6.275
V 2.675 2.803 0.666
V 0.748 0.000 6.024
V 7.270 3.238 6.941
V 2.675 8.455 2.094
V 7.270 -2.414 8.369
O 1.834 -3.519 8.933
O 6.428 1.698 0.103
O 1.834 -0.760 1.522
O 6.428 4.456 7.514
O 6.428 9.495 1.419
O 1.834 4.279 7.616